Record 1
Entry from the Alexandria database: crystalline Tb2Tm2Sc5 at its relaxed geometry (GGA-PBE).

```
Tb2Tm2Sc5
1.0
-5.822 4.145 5.213
5.822 -4.145 5.213
5.822 4.145 -5.213
Tb Tm Sc
4 4 10
direct
0.000 0.000 0.000
0.000 0.500 0.500
0.017 0.872 0.645
0.227 0.372 0.355
0.305 0.038 0.480
0.305 0.326 0.767
0.559 0.538 0.233
0.559 0.826 0.520
0.052 0.345 0.907
0.052 0.646 0.207
0.294 0.755 0.039
0.439 0.146 0.093
0.439 0.845 0.793
0.672 0.361 0.562
0.672 0.611 0.811
0.716 0.255 0.961
0.799 0.111 0.438
0.799 0.861 0.189
```

Output
SG: No. 46
E above lowest polymorph (eV per atom): 0.110


Record 2
Entry from the Alexandria database: crystalline Tb10TmSc4 at its relaxed geometry (GGA-PBE).

```
Tb10TmSc4
1.0
-5.252 5.252 4.530
5.252 -5.252 4.530
5.252 5.252 -4.530
Tb Tm Sc
10 1 4
direct
0.029 0.696 0.090
0.061 0.971 0.667
0.250 0.750 0.500
0.304 0.394 0.333
0.394 0.061 0.090
0.606 0.939 0.910
0.696 0.606 0.667
0.750 0.250 0.500
0.939 0.029 0.333
0.971 0.304 0.910
0.000 0.000 0.000
0.267 0.461 0.728
0.461 0.733 0.194
0.539 0.267 0.806
0.733 0.539 0.272
```

Output
SG: No. 87


Record 3
Entry from the Alexandria database: crystalline TbTmSc2 at its relaxed geometry (GGA-PBE).

```
TbTmSc2
1.0
6.601 0.000 0.000
0.000 8.051 0.000
-0.005 0.000 8.514
Tb Tm Sc
4 4 8
direct
0.126 0.031 0.320
0.126 0.469 0.820
0.874 0.531 0.180
0.874 0.969 0.680
0.376 0.523 0.180
0.376 0.977 0.680
0.624 0.023 0.320
0.624 0.477 0.820
0.128 0.668 0.491
0.128 0.832 0.991
0.378 0.168 0.008
0.378 0.332 0.508
0.622 0.668 0.492
0.622 0.832 0.992
0.872 0.168 0.009
0.872 0.332 0.509
```

Output
SG: No. 14
E above lowest polymorph (eV per atom): 0.128


Record 4
Entry from the Alexandria database: crystalline Tb8TmSc2 at its relaxed geometry (GGA-PBE).

```
Tb8TmSc2
1.0
4.430 -7.932 0.000
4.430 7.932 0.000
-3.137 0.000 4.838
Tb Tm Sc
8 1 2
direct
0.097 0.337 0.674
0.208 0.792 0.000
0.337 0.097 0.674
0.427 0.427 0.207
0.573 0.573 0.793
0.663 0.903 0.326
0.792 0.208 0.000
0.903 0.663 0.326
0.000 0.000 0.000
0.310 0.690 0.500
0.690 0.310 0.500
```

Output
SG: No. 12
E above lowest polymorph (eV per atom): 0.046


Record 5
Entry from the Alexandria database: crystalline Tb4Tm5Sc2 at its relaxed geometry (GGA-PBE).

```
Tb4Tm5Sc2
1.0
10.862 -1.802 0.000
10.862 1.802 0.000
-2.873 0.000 8.421
Tb Tm Sc
4 5 2
direct
0.024 0.024 0.207
0.128 0.128 0.738
0.872 0.872 0.262
0.976 0.976 0.793
0.232 0.232 0.156
0.330 0.330 0.569
0.500 0.500 0.500
0.670 0.670 0.431
0.768 0.768 0.844
0.399 0.399 0.973
0.601 0.601 0.027
```

Output
SG: No. 12
E above lowest polymorph (eV per atom): 0.000


Record 6
Entry from the Alexandria database: crystalline Tb4Tm2Sc3 at its relaxed geometry (GGA-PBE).

```
Tb4Tm2Sc3
1.0
7.722 -5.628 0.000
7.722 5.628 0.000
-0.532 0.000 5.990
Tb Tm Sc
8 4 6
direct
0.094 0.809 0.990
0.142 0.427 0.157
0.191 0.906 0.510
0.427 0.142 0.657
0.573 0.858 0.343
0.809 0.094 0.490
0.858 0.573 0.843
0.906 0.191 0.010
0.243 0.522 0.677
0.478 0.757 0.823
0.522 0.243 0.177
0.757 0.478 0.323
0.067 0.267 0.582
0.267 0.067 0.082
0.402 0.598 0.250
0.598 0.402 0.750
0.733 0.933 0.918
0.933 0.733 0.418
```

Output
SG: No. 15
E above lowest polymorph (eV per atom): 0.018


Record 7
Entry from the Alexandria database: crystalline Tb2Tm6Sc at its relaxed geometry (GGA-PBE).

```
Tb2Tm6Sc
1.0
6.294 -6.926 0.000
6.294 6.926 0.000
-1.500 0.000 6.233
Tb Tm Sc
4 12 2
direct
0.117 0.166 0.371
0.166 0.117 0.871
0.834 0.883 0.129
0.883 0.834 0.629
0.044 0.443 0.733
0.156 0.778 0.998
0.222 0.844 0.502
0.282 0.455 0.193
0.443 0.044 0.233
0.455 0.282 0.693
0.545 0.718 0.307
0.557 0.956 0.767
0.718 0.545 0.807
0.778 0.156 0.498
0.844 0.222 0.002
0.956 0.557 0.267
0.382 0.618 0.750
0.618 0.382 0.250
```

Output
SG: No. 15
E above lowest polymorph (eV per atom): 0.087


Record 8
Entry from the Alexandria database: crystalline TbTm4Sc15 at its relaxed geometry (GGA-PBE).

```
TbTm4Sc15
1.0
4.702 0.000 0.000
0.000 4.702 0.000
0.000 0.000 23.544
Tb Tm Sc
1 4 15
direct
0.000 0.000 0.000
0.000 0.000 0.200
0.000 0.000 0.400
0.000 0.000 0.600
0.000 0.000 0.800
0.000 0.500 0.101
0.000 0.500 0.300
0.000 0.500 0.500
0.000 0.500 0.700
0.000 0.500 0.899
0.500 0.000 0.101
0.500 0.000 0.300
0.500 0.000 0.500
0.500 0.000 0.700
0.500 0.000 0.899
0.500 0.500 0.000
0.500 0.500 0.201
0.500 0.500 0.400
0.500 0.500 0.600
0.500 0.500 0.799
```

Output
SG: No. 123


Record 9
Entry from the Alexandria database: crystalline Tb6TmSc12 at its relaxed geometry (GGA-PBE).

```
Tb6TmSc12
1.0
5.494 3.172 4.969
-5.494 3.172 4.969
0.000 -6.344 4.969
Tb Tm Sc
6 1 12
direct
0.272 0.272 0.708
0.272 0.708 0.272
0.292 0.728 0.728
0.708 0.272 0.272
0.728 0.292 0.728
0.728 0.728 0.292
0.500 0.500 0.500
0.003 0.003 0.698
0.003 0.698 0.003
0.069 0.371 0.371
0.302 0.997 0.997
0.371 0.069 0.371
0.371 0.371 0.069
0.629 0.629 0.931
0.629 0.931 0.629
0.698 0.003 0.003
0.931 0.629 0.629
0.997 0.302 0.997
0.997 0.997 0.302
```

Output
SG: No. 166


Record 10
Entry from the Alexandria database: crystalline Tb3Tm8Sc4 at its relaxed geometry (GGA-PBE).

```
Tb3Tm8Sc4
1.0
6.519 -5.884 0.000
6.519 5.884 0.000
-2.930 0.000 5.867
Tb Tm Sc
3 8 4
direct
0.000 0.000 0.000
0.000 0.500 0.500
0.500 0.000 0.500
0.203 0.203 0.669
0.203 0.797 0.500
0.260 0.740 0.000
0.264 0.264 0.203
0.736 0.736 0.797
0.740 0.260 0.000
0.797 0.203 0.500
0.797 0.797 0.331
0.000 0.500 0.000
0.500 0.000 0.000
0.500 0.500 0.000
0.500 0.500 0.500
```

Output
SG: No. 12


Record 11
Entry from the Alexandria database: crystalline Tb3Tm5Sc at its relaxed geometry (GGA-PBE).

```
Tb3Tm5Sc
1.0
5.995 -5.505 0.000
5.995 5.505 0.000
-5.699 0.000 9.905
Tb Tm Sc
6 10 2
direct
0.000 0.000 0.000
0.000 0.000 0.500
0.218 0.218 0.343
0.322 0.322 0.760
0.678 0.678 0.240
0.782 0.782 0.657
0.080 0.566 0.194
0.285 0.715 0.000
0.324 0.324 0.043
0.434 0.920 0.806
0.494 0.494 0.628
0.506 0.506 0.372
0.566 0.080 0.194
0.676 0.676 0.957
0.715 0.285 0.000
0.920 0.434 0.806
0.068 0.068 0.790
0.932 0.932 0.210
```

Output
SG: No. 12


Record 12
Entry from the Alexandria database: crystalline TbTm2Sc at its relaxed geometry (GGA-PBE).

```
TbTm2Sc
1.0
1.731 1.000 11.197
-1.731 1.000 11.197
0.000 -1.999 11.197
Tb Tm Sc
1 2 1
direct
0.000 0.000 0.000
0.247 0.247 0.247
0.753 0.753 0.753
0.500 0.500 0.500
```

Output
SG: No. 166
E above lowest polymorph (eV per atom): 0.031


| no. | formation enthalpy at 0 K (meV/atom) | DOS(E_F) (states/eV per atom) | M_tot (μB/f.u.) |
| --- | --- | --- | --- |
| 1 | 194 | 1.417 | 0.00 |
| 2 | 562 | 1.424 | 0.00 |
| 3 | 180 | 1.695 | 0.00 |
| 4 | 169 | 1.438 | 0.00 |
| 5 | 59 | 1.393 | 0.00 |
| 6 | 110 | 1.416 | 0.00 |
| 7 | 121 | 1.270 | 0.00 |
| 8 | 56 | 1.948 | 0.00 |
| 9 | 169 | 1.248 | 0.00 |
| 10 | 399 | 1.749 | 0.55 |
| 11 | 600 | 1.426 | 0.00 |
| 12 | 45 | 1.628 | 0.00 |